This record from Alexandria describes a relaxed structure of YHgF. The functional is PBE.

Results
Total magnetic moment (μB/cell): 0.00
Volume (Å³/atom): 19.2
Fermi-level density of states (states/eV/atom): 0.321
Energy relative to the elements, uncorrected (eV/atom): -1.99

Cell lengths 3.753, 3.753, 8.177 Å; angles 90.00, 90.00, 90.00 degrees
Sites, in units of the cell vectors:
F  0.000  0.000  0.500
Hg  0.500  0.000  0.104
Y  0.000  0.500  0.310
F  0.500  0.500  0.500
Y  0.500  0.000  0.690
Hg  0.000  0.500  0.896